## PuMnGaO6 (PBE with a Hubbard U)

Data for an optimized crystal structure of PuMnGaO6.

The calculated total energy comes out at -0.295 hartree per atom.

It has space group P-31c (No. 163), with a = 5.2191 Å, b = 5.2191 Å, c = 9.3655 Å, α = 90.00°, β = 90.00° and γ = 120.00°. The inequivalent atoms are Pu at (0.3333, 0.6667, 0.2500), Mn at (0.0000, 0.0000, 0.0000), Ga at (0.3333, 0.6667, 0.7500) and O at (0.0018, 0.3467, 0.6332).